Entry 1:
{
  "formula": "DyMgBi2",
  "functional": "PBE-GGA",
  "state": "optimized geometry",
  "relative_energy_ev_per_atom": 0.062,
  "e_form_ev_per_atom": -0.392,
  "volume_a3_per_cell": 113,
  "m_tot_mub_per_atom": 0.0000,
  "lattice_angstrom": [[4.057, 0.000, 0.000], [0.000, 4.057, 0.000], [0.000, 0.000, 6.878]],
  "species": ["Bi", "Bi", "Mg", "Dy"],
  "fractional_positions": [[0.000, 0.000, 0.252], [0.000, 0.000, 0.748], [0.500, 0.500, 0.000], [0.500, 0.500, 0.500]]
}


Entry 2:
{
  "formula": "Dy2MgBi",
  "functional": "PBE-GGA",
  "state": "optimized geometry",
  "relative_energy_ev_per_atom": 0.046,
  "e_form_ev_per_atom": -0.358,
  "volume_a3_per_cell": 111,
  "m_tot_mub_per_atom": 0.0000,
  "lattice_angstrom": [[-0.172, 1.340, -4.055], [-1.175, -4.718, -1.510], [-4.949, 1.054, 0.558]],
  "species": ["Mg", "Bi", "Dy", "Dy"],
  "fractional_positions": [[0.500, 0.000, 0.000], [0.500, 0.500, 0.500], [0.000, 0.500, 0.000], [0.000, 0.000, 0.500]]
}


Entry 3:
{
  "formula": "DyMgBi2",
  "functional": "PBE-GGA",
  "state": "optimized geometry",
  "relative_energy_ev_per_atom": 0.000,
  "e_form_ev_per_atom": -0.454,
  "volume_a3_per_cell": 226,
  "m_tot_mub_per_atom": 0.0000,
  "lattice_angstrom": [[-2.975, -2.075, -2.787], [0.252, -3.788, 2.552], [-8.186, 3.557, 6.088]],
  "species": ["Bi", "Bi", "Bi", "Bi", "Mg", "Mg", "Dy", "Dy"],
  "fractional_positions": [[0.000, 0.000, 0.500], [0.500, 0.500, 0.500], [0.500, 0.000, 0.190], [0.000, 0.500, 0.810], [0.000, 0.000, 0.000], [0.500, 0.500, 0.000], [0.000, 0.500, 0.278], [0.500, 0.000, 0.722]]
}


Entry 4:
{
  "formula": "DyMgBi2",
  "functional": "PBE-GGA",
  "state": "optimized geometry",
  "relative_energy_ev_per_atom": 0.033,
  "e_form_ev_per_atom": -0.421,
  "volume_a3_per_cell": 111,
  "m_tot_mub_per_atom": 0.0000,
  "lattice_angstrom": [[4.199, 0.000, 0.000], [0.000, 5.147, 0.000], [0.000, 0.000, 5.147]],
  "species": ["Bi", "Bi", "Mg", "Dy"],
  "fractional_positions": [[0.000, 0.500, 0.000], [0.000, 0.000, 0.500], [0.500, 0.000, 0.000], [0.500, 0.500, 0.500]]
}


Entry 5:
{
  "formula": "DyMgBi3",
  "functional": "PBE-GGA",
  "state": "optimized geometry",
  "e_form_ev_per_atom": -0.378,
  "volume_a3_per_cell": 581,
  "m_tot_mub_per_atom": 0.0000,
  "lattice_angstrom": [[6.509, 0.000, 0.000], [0.000, 6.489, 0.000], [0.000, 0.000, 13.753]],
  "species": ["Bi", "Bi", "Bi", "Bi", "Bi", "Bi", "Bi", "Bi", "Bi", "Bi", "Bi", "Bi", "Dy", "Dy", "Dy", "Dy", "Mg", "Mg", "Mg", "Mg"],
  "fractional_positions": [[0.000, 0.750, 0.503], [0.750, 0.330, 0.918], [0.750, 0.505, 0.267], [0.500, 0.250, 0.497], [0.250, 0.170, 0.918], [0.750, 0.005, 0.733], [0.250, 0.670, 0.082], [0.250, 0.995, 0.267], [0.000, 0.250, 0.497], [0.750, 0.830, 0.082], [0.250, 0.495, 0.733], [0.500, 0.750, 0.503], [0.250, 0.503, 0.320], [0.750, 0.497, 0.680], [0.250, 0.003, 0.680], [0.750, 0.997, 0.320], [0.500, 0.750, 0.886], [0.000, 0.250, 0.114], [0.500, 0.250, 0.114], [0.000, 0.750, 0.886]]
}


Entry 6:
{
  "formula": "Dy2MgScBi4",
  "functional": "PBE-GGA",
  "state": "optimized geometry",
  "e_form_ev_per_atom": -0.564,
  "volume_a3_per_cell": 241,
  "m_tot_mub_per_atom": 0.0000,
  "lattice_angstrom": [[4.376, 0.000, 0.000], [0.000, 7.576, -0.105], [0.000, 2.709, 7.236]],
  "species": ["Sc", "Bi", "Bi", "Bi", "Bi", "Dy", "Dy", "Mg"],
  "fractional_positions": [[0.000, 0.500, 0.500], [0.000, 0.736, 0.753], [0.500, 0.737, 0.258], [0.500, 0.263, 0.742], [0.000, 0.264, 0.247], [0.000, 0.000, 0.000], [0.500, 0.000, 0.500], [0.500, 0.500, 0.000]]
}